This record from the Alexandria database describes a geometry-optimized MgTiCoP3O12 structure. The functional is GGA+U.

Unit cell a=8.4700 b=8.4700 c=8.4700 alpha=61.15 beta=61.15 gamma=61.15
Closest atoms and distances in Å follow each position.
Atoms (fractional coordinates):
Mg1 0.0000 0.0000 0.0000  6 O 2.12-2.20
Mg2 0.5000 0.5000 0.5000  6 O 2.12-2.20
Ti1 0.1478 0.1478 0.1478  6 O 1.88-2.07
Ti2 0.6478 0.6478 0.6478  6 O 1.88-2.07
Co1 0.3584 0.3584 0.3584  6 O 1.91-2.09
Co2 0.8584 0.8584 0.8584  6 O 1.91-2.09
P1 0.0493 0.7556 0.4594  4 O 1.52-1.56
P2 0.2556 0.5493 0.9594  4 O 1.52-1.56
P3 0.4594 0.0493 0.7556  4 O 1.52-1.56
P4 0.5493 0.9594 0.2556  4 O 1.52-1.56
P5 0.7556 0.4594 0.0493  4 O 1.52-1.56
P6 0.9594 0.2556 0.5493  4 O 1.52-1.56
O1 0.0074 0.1896 0.3837  1 P 1.56
O2 0.0070 0.8280 0.6136  1 P 1.52
O3 0.0581 0.9151 0.2610  1 P 1.56
O4 0.0952 0.7438 0.9453  1 P 1.54
O5 0.1136 0.3280 0.5070  1 P 1.52
O6 0.1896 0.3837 0.0074  1 P 1.56
O7 0.2438 0.5952 0.4453  1 P 1.54
O8 0.2610 0.0581 0.9151  1 P 1.56
O9 0.3280 0.5070 0.1136  1 P 1.52
O10 0.3837 0.0074 0.1896  1 P 1.56
O11 0.4151 0.5581 0.7610  1 P 1.56
O12 0.4453 0.2438 0.5952  1 P 1.54
O13 0.5070 0.1136 0.3280  1 P 1.52
O14 0.5074 0.8837 0.6896  1 P 1.56
O15 0.5581 0.7610 0.4151  1 P 1.56
O16 0.5952 0.4453 0.2438  1 P 1.54
O17 0.6136 0.0070 0.8280  1 P 1.52
O18 0.6896 0.5074 0.8837  1 P 1.56
O19 0.7438 0.9453 0.0952  1 P 1.54
O20 0.7610 0.4151 0.5581  1 P 1.56
O21 0.8280 0.6136 0.0070  1 P 1.52
O22 0.8837 0.6896 0.5074  1 P 1.56
O23 0.9151 0.2610 0.0581  1 P 1.56
O24 0.9453 0.0952 0.7438  1 P 1.54

## Properties
For the magnetic moment, the calculation gives 0.23 μB per atom. Its crystal system is trigonal. As for the total energy: -7.290 eV/atom.